VASP calculation (PBE) on CsNaF after structural relaxation.

Geometry as CIF:
```
data_CsNaF
_space_group_name_H-M_alt 'P 1'
_space_group_IT_number 1
_space_group_name_Hall 'P 1'
_cell_length_a 3.888
_cell_length_b 7.511
_cell_length_c 8.841
_cell_angle_alpha 101.70
_cell_angle_beta 101.83
_cell_angle_gamma 104.83
loop_
_atom_site_label
_atom_site_type_symbol
_atom_site_fract_x
_atom_site_fract_y
_atom_site_fract_z
Na1 Na 0.604 0.104 0.395
Na2 Na 0.756 0.767 0.037
Cs1 Cs 0.457 0.258 0.944
Cs2 Cs 0.043 0.700 0.647
F1 F 0.129 0.590 0.953
F2 F 0.758 0.938 0.855
```

Summary:
Energy relative to the elements, uncorrected = -1.68 eV per atom
Size of the total moment = 0.000 μB per atom
Symmetry = P1, No. 1
Polymorph energy (0 for the lowest one) = 1.2 kJ/mol of atoms
VASP energy = -3.0309 eV per atom